A relaxed structure of Nd2TiPd9. Source: Alexandria via LeMat-Bulk, functional PBE.

Crystal system: tetragonal
ΔH_f (0 K) (eV/atom): -0.717

Lattice parameters (Å, degrees): 4.1151 4.1151 12.3162 90.00 90.00 90.00
Space group P4/mmm (No. 123)
Inequivalent atoms, fractional coordinates:
1 Nd 0.0000 0.0000 0.1735
2 Ti 0.0000 0.0000 0.5000
3 Pd 0.0000 0.5000 0.0000
4 Pd 0.0000 0.5000 0.3523
5 Pd 0.5000 0.5000 0.1761
6 Pd 0.5000 0.5000 0.5000



A relaxed structure of La3CdIr. Source: Alexandria via LeMat-Bulk, functional PBE.

Crystal system: triclinic
ΔH_f (0 K) (eV/atom): -0.464
Polymorph energy (0 for the lowest one) (meV per atom): 25

Lattice parameters (Å, degrees): 5.9440 7.1848 7.7840 90.00 90.00 109.47
Space group P-1 (No. 2)
Inequivalent atoms, fractional coordinates:
1 La 0.1379 0.1344 0.2500
2 La 0.3182 0.7112 0.0155
3 La 0.3186 0.7117 0.4847
4 Cd 0.2082 0.3218 0.7496
5 Ir 0.3965 0.9885 0.7503



A relaxed structure of SmZrMo4. Source: Alexandria via LeMat-Bulk, functional PBE.

Crystal system: cubic
ΔH_f (0 K) (eV/atom): 0.066

Lattice parameters (Å, degrees): 7.7436 7.7436 7.7436 90.00 90.00 90.00
Space group F-43m (No. 216)
Inequivalent atoms, fractional coordinates:
1 Sm 0.0000 0.0000 0.0000
2 Zr 0.2500 0.2500 0.7500
3 Mo 0.1250 0.1250 0.3750



A relaxed structure of LaMg2Sc. Source: Alexandria via LeMat-Bulk, functional PBE.

Crystal system: orthorhombic
ΔH_f (0 K) (eV/atom): 0.065

Lattice parameters (Å, degrees): 3.6133 5.3791 11.0513 90.00 90.00 90.00
Space group Cmm2 (No. 35)
Inequivalent atoms, fractional coordinates:
1 La 0.0000 0.0000 0.0000
2 Mg 0.0000 0.0000 0.4968
3 Mg 0.0000 0.5000 0.7303
4 Sc 0.0000 0.5000 0.2624



A relaxed structure of DyAg3Pd7. Source: Alexandria via LeMat-Bulk, functional PBE.

Crystal system: monoclinic
ΔH_f (0 K) (eV/atom): -0.043

Lattice parameters (Å, degrees): 9.3522 9.2802 5.1703 90.00 113.60 90.00
Space group C2/m (No. 12)
Inequivalent atoms, fractional coordinates:
1 Dy 0.0000 0.0000 0.0000
2 Ag 0.0000 0.2928 0.5000
3 Ag 0.0000 0.5000 0.0000
4 Pd 0.0000 0.0000 0.5000
5 Pd 0.1830 0.2609 0.1846
6 Pd 0.2176 0.5000 0.5424



A relaxed structure of SbTe2Pb. Source: Alexandria via LeMat-Bulk, functional PBE.

Energy relative to the elements, uncorrected (kJ per mole of atoms): 10.2
Crystal system: tetragonal

Lattice parameters (Å, degrees): 4.4767 4.4767 12.6979 90.00 90.00 90.00
Space group I-4m2 (No. 119)
Inequivalent atoms, fractional coordinates:
1 Sb 0.0000 0.0000 0.0000
2 Te 0.0000 0.0000 0.5000
3 Te 0.0000 0.5000 0.7500
4 Pb 0.0000 0.5000 0.2500



A relaxed structure of NaInP. Source: Alexandria via LeMat-Bulk, functional PBE.

Crystal system: orthorhombic
ΔH_f (0 K) (eV/atom): -0.186

Lattice parameters (Å, degrees): 7.1936 4.2611 9.0467 90.00 90.00 90.00
Space group Pnma (No. 62)
Inequivalent atoms, fractional coordinates:
1 Na 0.0156 0.2500 0.1696
2 In 0.1585 0.2500 0.5843
3 P 0.2253 0.7500 0.3943



A relaxed structure of BaAcZn2Au5. Source: Alexandria via LeMat-Bulk, functional PBE.

Crystal system: tetragonal
ΔH_f (0 K) (eV/atom): -0.499

Lattice parameters (Å, degrees): 4.7854 4.7854 9.3667 90.00 90.00 90.00
Space group P4/mmm (No. 123)
Inequivalent atoms, fractional coordinates:
1 Ba 0.0000 0.0000 0.0000
2 Ac 0.0000 0.0000 0.5000
3 Zn 0.5000 0.5000 0.3629
4 Au 0.0000 0.5000 0.2508
5 Au 0.5000 0.5000 0.0000



A relaxed structure of Dy2RhS. Source: Alexandria via LeMat-Bulk, functional PBE.

Energy relative to the elements, uncorrected (kJ per mole of atoms): -136.0
Crystal system: orthorhombic
Polymorph energy (0 for the lowest one) (meV per atom): 0

Lattice parameters (Å, degrees): 3.8562 22.1992 4.0230 90.00 90.00 90.00
Space group Cmcm (No. 63)
Inequivalent atoms, fractional coordinates:
1 Dy 0.0000 0.0666 0.2500
2 Dy 0.0000 0.3196 0.2500
3 Rh 0.0000 0.4549 0.2500
4 S 0.0000 0.1931 0.2500



A relaxed structure of Tb2Pr2Ho5. Source: Alexandria via LeMat-Bulk, functional PBE.

Crystal system: monoclinic
ΔH_f (0 K) (eV/atom): 0.226
Polymorph energy (0 for the lowest one) (meV per atom): 15

Lattice parameters (Å, degrees): 21.7194 3.4904 8.2336 90.00 99.90 90.00
Space group C2/m (No. 12)
Inequivalent atoms, fractional coordinates:
1 Tb 0.0469 0.0000 0.3559
2 Pr 0.1818 0.5000 0.1433
3 Ho 0.0000 0.5000 0.0000
4 Ho 0.0958 0.5000 0.7333
5 Ho 0.1905 0.0000 0.5309



A relaxed structure of Er2BeAlPd6. Source: Alexandria via LeMat-Bulk, functional PBE.

Crystal system: triclinic
ΔH_f (0 K) (eV/atom): -0.714

Lattice parameters (Å, degrees): 5.6530 5.8431 6.8776 69.46 65.88 61.22
Space group P-1 (No. 2)
Inequivalent atoms, fractional coordinates:
1 Er 0.2182 0.2572 0.3145
2 Be 0.0000 0.0000 0.0000
3 Al 0.5000 0.5000 0.5000
4 Pd 0.2414 0.6460 0.8570
5 Pd 0.2471 0.7961 0.2263
6 Pd 0.2620 0.2049 0.7629



A relaxed structure of Mg3FeMo. Source: Alexandria via LeMat-Bulk, functional PBE.

Crystal system: cubic
ΔH_f (0 K) (eV/atom): 1.547

Lattice parameters (Å, degrees): 5.0837 5.0837 5.0837 90.00 90.00 90.00
Space group Pm-3m (No. 221)
Inequivalent atoms, fractional coordinates:
1 Mg 0.0000 0.0000 0.5000
2 Fe 0.5000 0.5000 0.5000
3 Mo 0.0000 0.0000 0.0000



In order of appearance, raw total energy = -6.06; -5.38; -9.37; -3.55; -4.54; -3.42; -3.34; -3.27; -6.58; -4.41; -5.49; -3.27 eV per atom.
In order of appearance, Fermi-level density of states = 7.3; 12.4; 24.1; 9.3; 13.7; 6.8; 4.5; 3.6; 8.4; 26.2; 3.2; 6.9 states/eV/cell.